<A>
{
  "formula": "CsKSb4",
  "functional": "PBE-GGA",
  "state": "optimized geometry",
  "lattice": [[5.0686, -8.0901, 0.0000], [5.0686, 8.0901, 0.0000], [-4.5859, 0.0000, 6.3607]],
  "species": ["Cs", "Cs", "K", "K", "Sb", "Sb", "Sb", "Sb", "Sb", "Sb", "Sb", "Sb"],
  "frac_coords": [[0.1162, 0.8838, 0.7500], [0.8838, 0.1162, 0.2500], [0.4534, 0.5466, 0.7500], [0.5466, 0.4534, 0.2500], [0.0449, 0.2951, 0.8281], [0.1968, 0.5352, 0.2595], [0.2951, 0.0449, 0.3281], [0.4648, 0.8032, 0.2405], [0.5352, 0.1968, 0.7595], [0.7049, 0.9551, 0.6719], [0.8032, 0.4648, 0.7405], [0.9551, 0.7049, 0.1719]],
  "total_magnetization_mub_per_fu": 0.0
}

=====

<B>
{
  "formula": "CsKSb4",
  "functional": "PBE-GGA",
  "state": "optimized geometry",
  "lattice": [[0.0000, 4.7427, 4.7427], [4.7427, 0.0000, 4.7427], [4.7427, 4.7427, 0.0000]],
  "species": ["Cs", "K", "Sb", "Sb", "Sb", "Sb"],
  "frac_coords": [[0.0000, 0.0000, 0.0000], [0.2500, 0.2500, 0.2500], [0.1491, 0.6170, 0.6170], [0.6170, 0.1491, 0.6170], [0.6170, 0.6170, 0.1491], [0.6170, 0.6170, 0.6170]],
  "total_magnetization_mub_per_fu": 0.0
}

=====

Sorted by energy, starting with the most stable: <A>, <B>.